Below is a relaxed Zr2As crystal, with properties calculated at the GGA-PBE level.

VASP energy (eV per atom): -7.927
Magnetization (μB per formula unit): 0.00
E_form (kJ per mole of atoms): -65

a = 3.6175 Å, b = 3.6175 Å, c = 5.8522 Å
α = 90.00°, β = 90.00°, γ = 120.00°
Element x y z (fractional)
Zr: 0.3333 0.6667 0.2913
Zr: 0.6667 0.3333 0.7087
As: 0.0000 0.0000 0.0000

---

Below is a relaxed Zr3As2 crystal, with properties calculated at the GGA-PBE level.

VASP energy (eV per atom): -8.048
Magnetization (μB per formula unit): 0.00
Distance to the lowest polymorph of the same formula (eV/f.u.): 0.00
E_form (kJ per mole of atoms): -102

a = 10.6185 Å, b = 3.7668 Å, c = 10.1944 Å
α = 90.00°, β = 90.00°, γ = 90.00°
Element x y z (fractional)
Zr: 0.0443 0.2500 0.1249
Zr: 0.1234 0.7500 0.5674
Zr: 0.2144 0.2500 0.7957
Zr: 0.2856 0.7500 0.2957
Zr: 0.3766 0.2500 0.0674
Zr: 0.4557 0.7500 0.6249
Zr: 0.5443 0.2500 0.3751
Zr: 0.6234 0.7500 0.9326
Zr: 0.7144 0.2500 0.7043
Zr: 0.7856 0.7500 0.2043
Zr: 0.8766 0.2500 0.4326
Zr: 0.9557 0.7500 0.8751
As: 0.0289 0.7500 0.3202
As: 0.1948 0.7500 0.0002
As: 0.3052 0.2500 0.5002
As: 0.4711 0.2500 0.8202
As: 0.5289 0.7500 0.1798
As: 0.6948 0.7500 0.4998
As: 0.8052 0.2500 0.9998
As: 0.9711 0.2500 0.6798

---

Below is a relaxed Zr2As crystal, with properties calculated at the GGA-PBE level.

VASP energy (eV per atom): -7.839
Magnetization (μB per formula unit): 0.00
E_form (kJ per mole of atoms): -57

a = 6.4129 Å, b = 6.4129 Å, c = 6.4129 Å
α = 90.00°, β = 90.00°, γ = 90.00°
Element x y z (fractional)
Zr: 0.2500 0.2500 0.2500
Zr: 0.2500 0.2500 0.7500
Zr: 0.2500 0.7500 0.2500
Zr: 0.2500 0.7500 0.7500
Zr: 0.7500 0.2500 0.2500
Zr: 0.7500 0.2500 0.7500
Zr: 0.7500 0.7500 0.2500
Zr: 0.7500 0.7500 0.7500
As: 0.0000 0.0000 0.0000
As: 0.0000 0.5000 0.5000
As: 0.5000 0.0000 0.5000
As: 0.5000 0.5000 0.0000

---

Below is a relaxed Zr2As crystal, with properties calculated at the GGA-PBE level.

VASP energy (eV per atom): -8.127
Magnetization (μB per formula unit): 0.00
E_form (kJ per mole of atoms): -85

a = 6.5700 Å, b = 6.5700 Å, c = 5.5524 Å
α = 90.00°, β = 90.00°, γ = 90.00°
Element x y z (fractional)
Zr: 0.1585 0.3415 0.0000
Zr: 0.1585 0.6585 0.5000
Zr: 0.3415 0.1585 0.5000
Zr: 0.3415 0.8415 0.0000
Zr: 0.6585 0.1585 0.0000
Zr: 0.6585 0.8415 0.5000
Zr: 0.8415 0.3415 0.5000
Zr: 0.8415 0.6585 0.0000
As: 0.0000 0.0000 0.2500
As: 0.0000 0.0000 0.7500
As: 0.5000 0.5000 0.2500
As: 0.5000 0.5000 0.7500

---

Below is a relaxed ZrAs3 crystal, with properties calculated at the GGA-PBE level.

VASP energy (eV per atom): -5.857
Magnetization (μB per formula unit): 0.00
E_form (kJ per mole of atoms): -22

a = 8.4855 Å, b = 8.4855 Å, c = 4.0189 Å
α = 90.00°, β = 90.00°, γ = 120.00°
Element x y z (fractional)
Zr: 0.0000 0.0000 0.0000
Zr: 0.3333 0.6667 0.6667
Zr: 0.6667 0.3333 0.3333
As: 0.0000 0.5000 0.0000
As: 0.1667 0.3333 0.3333
As: 0.1667 0.8333 0.3333
As: 0.3333 0.1667 0.6667
As: 0.5000 0.0000 0.0000
As: 0.5000 0.5000 0.0000
As: 0.6667 0.8333 0.3333
As: 0.8333 0.1667 0.6667
As: 0.8333 0.6667 0.6667

---

Below is a relaxed ZrAs2 crystal, with properties calculated at the GGA-PBE level.

VASP energy (eV per atom): -6.534
Magnetization (μB per formula unit): 0.00
E_form (kJ per mole of atoms): -56

a = 3.6988 Å, b = 9.7840 Å, c = 6.7209 Å
α = 90.00°, β = 90.00°, γ = 90.00°
Element x y z (fractional)
Zr: 0.0000 0.0938 0.0000
Zr: 0.0000 0.9062 0.5000
Zr: 0.5000 0.4062 0.5000
Zr: 0.5000 0.5938 0.0000
As: 0.0000 0.2012 0.3884
As: 0.0000 0.4289 0.1795
As: 0.0000 0.5711 0.6795
As: 0.0000 0.7988 0.8884
As: 0.5000 0.0711 0.6795
As: 0.5000 0.2988 0.8884
As: 0.5000 0.7012 0.3884
As: 0.5000 0.9289 0.1795

---

Below is a relaxed ZrAs3 crystal, with properties calculated at the GGA-PBE level.

VASP energy (eV per atom): -5.633
Magnetization (μB per formula unit): 0.00
E_form (kJ per mole of atoms): -1

a = 3.1117 Å, b = 3.1117 Å, c = 28.4393 Å
α = 90.00°, β = 90.00°, γ = 120.00°
Element x y z (fractional)
Zr: 0.0000 0.0000 0.0000
Zr: 0.3333 0.6667 0.6667
Zr: 0.6667 0.3333 0.3333
As: 0.0000 0.0000 0.2545
As: 0.0000 0.0000 0.5000
As: 0.0000 0.0000 0.7455
As: 0.3333 0.6667 0.1667
As: 0.3333 0.6667 0.4121
As: 0.3333 0.6667 0.9212
As: 0.6667 0.3333 0.0788
As: 0.6667 0.3333 0.5879
As: 0.6667 0.3333 0.8333

---

Below is a relaxed ZrAs3 crystal, with properties calculated at the GGA-PBE level.

VASP energy (eV per atom): -5.828
Magnetization (μB per formula unit): 0.00
E_form (kJ per mole of atoms): -20

a = 4.6239 Å, b = 4.6239 Å, c = 3.6010 Å
α = 90.00°, β = 90.00°, γ = 90.00°
Element x y z (fractional)
Zr: 0.0000 0.0000 0.0000
As: 0.0000 0.5000 0.5000
As: 0.5000 0.0000 0.5000
As: 0.5000 0.5000 0.0000

---

- Number 4 is which compound?
  Zr2As

---

- Which of these has the lowest VASP energy?
  number 4

---

- Among the records above, which one has the lowest VASP energy?
  number 4

---

- Which value of VASP energy does entry 6 give?
  -6.534 eV per atom